Run 1
First-principles (GGA-PBE) data for SiTe2Pt after structural relaxation, as listed in Alexandria via LeMat-Bulk. Values from VASP.

SG = Pm, No. 6
DOS at the Fermi energy = 0.9 states/eV/cell

```
&SYSTEM
  ibrav = 0, nat = 4, ntyp = 3
/
ATOMIC_SPECIES
Si 28.09 Si.upf
Te 127.60 Te.upf
Pt 195.08 Pt.upf
CELL_PARAMETERS angstrom
4.415 0.000 0.000
0.000 3.964 0.000
-0.621 0.000 5.960
ATOMIC_POSITIONS crystal
Si 0.000 0.000 0.000
Te 0.135 0.500 0.706
Te 0.490 0.000 0.277
Pt 0.701 0.500 0.002
```

Run 2
First-principles (GGA-PBE) data for SiTe2Pt after structural relaxation, as listed in Alexandria via LeMat-Bulk. Values from VASP.

SG = Immm, No. 71
DOS at the Fermi energy = 2.2 states/eV/cell

```
&SYSTEM
  ibrav = 0, nat = 4, ntyp = 3
/
ATOMIC_SPECIES
Si 28.09 Si.upf
Te 127.60 Te.upf
Pt 195.08 Pt.upf
CELL_PARAMETERS angstrom
-1.892 1.923 6.645
1.892 -1.923 6.645
1.892 1.923 -6.645
ATOMIC_POSITIONS crystal
Si 0.000 0.000 0.000
Te 0.153 0.653 0.500
Te 0.847 0.347 0.500
Pt 0.500 0.500 0.000
```

Run 3
First-principles (GGA-PBE) data for SiTe2Pt after structural relaxation, as listed in Alexandria via LeMat-Bulk. Values from VASP.

SG = I-4m2, No. 119
DOS at the Fermi energy = 3.5 states/eV/cell

```
&SYSTEM
  ibrav = 0, nat = 4, ntyp = 3
/
ATOMIC_SPECIES
Si 28.09 Si.upf
Te 127.60 Te.upf
Pt 195.08 Pt.upf
CELL_PARAMETERS angstrom
-1.997 1.997 5.625
1.997 -1.997 5.625
1.997 1.997 -5.625
ATOMIC_POSITIONS crystal
Si 0.000 0.000 0.000
Te 0.250 0.750 0.500
Te 0.500 0.500 0.000
Pt 0.750 0.250 0.500
```

Run 4
First-principles (GGA-PBE) data for SiTe2Pt after structural relaxation, as listed in Alexandria via LeMat-Bulk. Values from VASP.

SG = C2/m, No. 12
DOS at the Fermi energy = 1.8 states/eV/cell

```
&SYSTEM
  ibrav = 0, nat = 4, ntyp = 3
/
ATOMIC_SPECIES
Si 28.09 Si.upf
Te 127.60 Te.upf
Pt 195.08 Pt.upf
CELL_PARAMETERS angstrom
3.479 -2.001 0.000
3.479 2.001 0.000
-2.283 0.000 6.431
ATOMIC_POSITIONS crystal
Si 0.000 0.000 0.000
Te 0.247 0.247 0.741
Te 0.753 0.753 0.259
Pt 0.500 0.500 0.500
```

The structure shown above that is least stable: run 3.